Rb2Tm3Se6 | PBE-GGA | optimized geometry

```
11
Lattice="-3.879 -5.904 -0.255 0.693 -4.452 -5.447 4.641 -6.044 4.001" Properties=species:S:1:pos:R:3 pbc="T T T"
Rb 2.136 -6.974 -1.674
Rb -0.681 -9.426 -0.027
Tm 0.000 0.000 0.000
Tm -1.061 -3.452 -1.902
Tm -2.124 -6.904 -3.801
Se 2.672 -10.202 -0.503
Se 0.920 -9.195 3.049
Se 3.731 -6.748 1.406
Se -0.159 -2.753 0.698
Se -1.218 -6.198 -1.199
Se -2.276 -9.653 -3.107
```

As for the symmetry: No. 12. For the uncorrected formation energy, the calculation gives -37.8 kcal/mol of atoms. For the density of states at the Fermi level, the calculation gives 7.18 states/eV per cell. The density is 5.34 g cm⁻³.



BaTl2Cl | PBE-GGA | optimized geometry

```
4
Lattice="7.088 0.000 0.000 0.000 4.477 0.000 0.000 0.000 4.477" Properties=species:S:1:pos:R:3 pbc="T T T"
Tl 0.000 0.000 0.000
Tl 0.000 2.239 2.239
Ba 3.544 2.239 0.000
Cl 3.544 0.000 2.239
```

The value obtained for the offset from the most stable computed form is 28 meV/atom. As for the symmetry: No. 123. For the uncorrected formation energy, the calculation gives -19.4 kcal/mol of atoms. For the density of states at the Fermi level, the calculation gives 4.31 states/eV per cell. The density is 6.80 g cm⁻³.